[1]
Material: YTmNO
Method: DFT, PBE
State: relaxed

a = 4.814 Å, b = 3.939 Å, c = 6.818 Å
α = 90.00°, β = 90.00°, γ = 90.00°
Space group Pmma (No. 51)
One atom of each set of equivalent atoms:
Y 0.250 0.000 0.164
Tm 0.250 0.500 0.668
N 0.250 0.500 0.341
O 0.250 0.000 0.816

Properties
For the energy above the most stable polymorph in this dataset, the calculation gives 30 kJ/mol of formula units. Its total energy is -33.24 eV per formula unit. The magnetic moment is 0.06 Bohr magnetons per cell.

---

[2]
Material: SrNbNO2
Method: DFT, PBE
State: relaxed

a = 5.710 Å, b = 5.710 Å, c = 8.152 Å
α = 90.00°, β = 90.00°, γ = 90.00°
Space group P4_2/mcm (No. 132)
One atom of each set of equivalent atoms:
Sr 0.000 0.000 0.250
Sr 0.500 0.500 0.250
Nb 0.000 0.500 0.000
N 0.214 0.214 0.000
O 0.000 0.500 0.250
O 0.291 0.291 0.500

Properties
Its total energy is -40.73 eV per formula unit. The magnetic moment is 0.01 Bohr magnetons per cell.

---

[3]
Material: Y2Cd2Sn3
Method: DFT, PBE
State: relaxed

a = 4.9826 Å, b = 4.9826 Å, c = 26.9486 Å
α = 90.00°, β = 90.00°, γ = 120.00°
Space group R3m (No. 160, hexagonal axes)
One atom of each set of equivalent atoms:
Y 0.0000 0.0000 0.0000
Y 0.0000 0.0000 0.4994
Cd 0.0000 0.0000 0.2421
Cd 0.0000 0.0000 0.7547
Sn 0.0000 0.0000 0.3867
Sn 0.0000 0.0000 0.6226
Sn 0.0000 0.0000 0.8679

Properties
Its total energy is -28.28 eV per formula unit. The magnetic moment is 0.01 Bohr magnetons per cell.